Record 1
Compound: CuTcHg2
Source: Alexandria via LeMat-Bulk
Functional: PBEsol
Structure: optimized geometry

Cell and atoms, written as POSCAR:
```
CuTcHg2
1.0
-2.126 2.126 3.676
2.126 -2.126 3.676
2.126 2.126 -3.676
Cu Tc Hg
1 1 2
Direct
0.000 0.000 0.000 Cu
0.500 0.500 0.000 Tc
0.250 0.750 0.500 Hg
0.750 0.250 0.500 Hg
```

Calculated values
Magnetization, μB per atom: 0.409
Relative energy among the computed polymorphs, eV/f.u.: 0.65
ΔH_f (0 K), eV per atom: 0.577
SG: I4/mmm, No. 139



Record 2
Compound: Cu3HgTe
Source: Alexandria via LeMat-Bulk
Functional: PBEsol
Structure: optimized geometry

Cell and atoms, written as POSCAR:
```
Cu3HgTe
1.0
4.824 0.000 0.000
0.000 4.824 0.000
0.000 0.000 4.824
Cu Hg Te
3 1 1
Direct
0.000 0.000 0.500 Cu
0.000 0.500 0.000 Cu
0.500 0.000 0.000 Cu
0.500 0.500 0.500 Hg
0.000 0.000 0.000 Te
```

Calculated values
Magnetization, μB per atom: 0.000
Raw formation energy, eV/f.u.: 3.4
SG: Pm-3m, No. 221



Record 3
Compound: CuHg3Te
Source: Alexandria via LeMat-Bulk
Functional: PBEsol
Structure: optimized geometry

Cell and atoms, written as POSCAR:
```
CuHg3Te
1.0
5.613 0.000 0.000
0.000 5.613 0.000
0.000 0.000 5.613
Cu Hg Te
1 3 1
Direct
0.000 0.000 0.000 Cu
0.000 0.500 0.500 Hg
0.500 0.000 0.500 Hg
0.500 0.500 0.000 Hg
0.500 0.500 0.500 Te
```

Calculated values
Magnetization, μB per atom: 0.000
Raw formation energy, eV/f.u.: 4.1
SG: Pm-3m, No. 221



Record 4
Compound: CuHgTe
Source: Alexandria via LeMat-Bulk
Functional: PBEsol
Structure: optimized geometry

Cell and atoms, written as POSCAR:
```
CuHgTe
1.0
0.000 3.203 3.203
3.203 0.000 3.203
3.203 3.203 0.000
Cu Hg Te
1 1 1
Direct
0.000 0.000 0.000 Cu
0.750 0.750 0.750 Hg
0.250 0.250 0.250 Te
```

Calculated values
Magnetization, μB per atom: 0.000
Raw formation energy, eV/f.u.: 0.2
SG: F-43m, No. 216



Record 5
Compound: CuHg4Te
Source: Alexandria via LeMat-Bulk
Functional: PBEsol
Structure: optimized geometry

Cell and atoms, written as POSCAR:
```
CuHg4Te
1.0
0.000 4.126 4.126
4.126 0.000 4.126
4.126 4.126 0.000
Cu Hg Te
1 4 1
Direct
0.000 0.000 0.000 Cu
0.124 0.625 0.625 Hg
0.625 0.124 0.625 Hg
0.625 0.625 0.124 Hg
0.625 0.625 0.625 Hg
0.250 0.250 0.250 Te
```

Calculated values
Magnetization, μB per atom: 0.000
Raw formation energy, eV/f.u.: 2.7
SG: F-43m, No. 216



Record 6
Compound: TlCu2Hg
Source: Alexandria via LeMat-Bulk
Functional: PBEsol
Structure: optimized geometry

Cell and atoms, written as POSCAR:
```
TlCu2Hg
1.0
1.551 0.895 8.734
-1.551 0.895 8.734
0.000 -1.791 8.734
Tl Cu Hg
1 2 1
Direct
0.000 0.000 0.000 Tl
0.481 0.481 0.481 Cu
0.751 0.751 0.751 Cu
0.225 0.225 0.225 Hg
```

Calculated values
Magnetization, μB per atom: 0.000
Relative energy among the computed polymorphs, eV/f.u.: 0.41
ΔH_f (0 K), eV per atom: 0.301
SG: R3m, No. 160



Record 7
Compound: TlCu2Hg
Source: Alexandria via LeMat-Bulk
Functional: PBEsol
Structure: optimized geometry

Cell and atoms, written as POSCAR:
```
TlCu2Hg
1.0
3.114 0.000 0.000
0.000 3.114 0.000
0.000 0.000 7.304
Tl Cu Hg
1 2 1
Direct
0.000 0.000 0.000 Tl
0.000 0.000 0.419 Cu
0.500 0.500 0.264 Cu
0.500 0.500 0.648 Hg
```

Calculated values
Magnetization, μB per atom: 0.000
Relative energy among the computed polymorphs, eV/f.u.: 0.00
ΔH_f (0 K), eV per atom: 0.198
SG: P4mm, No. 99



Record 8
Compound: TlCu2Hg
Source: Alexandria via LeMat-Bulk
Functional: PBEsol
Structure: optimized geometry

Cell and atoms, written as POSCAR:
```
TlCu2Hg
1.0
0.000 3.262 3.262
3.262 0.000 3.262
3.262 3.262 0.000
Tl Cu Hg
1 2 1
Direct
0.000 0.000 0.000 Tl
0.500 0.500 0.500 Cu
0.750 0.750 0.750 Cu
0.250 0.250 0.250 Hg
```

Calculated values
Magnetization, μB per atom: 0.000
Relative energy among the computed polymorphs, eV/f.u.: 0.72
ΔH_f (0 K), eV per atom: 0.378
SG: F-43m, No. 216



Record 9
Compound: TlCuHg
Source: Alexandria via LeMat-Bulk
Functional: PBEsol
Structure: optimized geometry

Cell and atoms, written as POSCAR:
```
TlCuHg
1.0
0.000 3.242 3.242
3.242 0.000 3.242
3.242 3.242 0.000
Tl Cu Hg
1 1 1
Direct
0.000 0.000 0.000 Tl
0.500 0.500 0.500 Cu
0.750 0.750 0.750 Hg
```

Calculated values
Magnetization, μB per atom: 0.000
ΔH_f (0 K), eV per atom: 0.393
SG: F-43m, No. 216



Record 10
Compound: Tl2CuHg
Source: Alexandria via LeMat-Bulk
Functional: PBEsol
Structure: optimized geometry

Cell and atoms, written as POSCAR:
```
Tl2CuHg
1.0
4.708 0.000 0.000
0.000 4.708 0.000
0.000 0.000 4.053
Tl Cu Hg
2 1 1
Direct
0.000 0.500 0.000 Tl
0.500 0.000 0.000 Tl
0.000 0.000 0.500 Cu
0.500 0.500 0.500 Hg
```

Calculated values
Magnetization, μB per atom: 0.000
Relative energy among the computed polymorphs, eV/f.u.: 0.38
ΔH_f (0 K), eV per atom: 0.264
SG: P4/mmm, No. 123



Record 11
Compound: Tl2CuHg
Source: Alexandria via LeMat-Bulk
Functional: PBEsol
Structure: optimized geometry

Cell and atoms, written as POSCAR:
```
Tl2CuHg
1.0
1.737 1.003 8.748
-1.737 1.003 8.748
0.000 -2.006 8.748
Tl Cu Hg
2 1 1
Direct
0.000 0.000 0.000 Tl
0.230 0.230 0.230 Tl
0.493 0.493 0.493 Cu
0.760 0.760 0.760 Hg
```

Calculated values
Magnetization, μB per atom: 0.000
Relative energy among the computed polymorphs, eV/f.u.: 0.00
ΔH_f (0 K), eV per atom: 0.169
SG: R3m, No. 160



Record 12
Compound: YCu2Hg
Source: Alexandria via LeMat-Bulk
Functional: PBEsol
Structure: optimized geometry

Cell and atoms, written as POSCAR:
```
YCu2Hg
1.0
3.973 0.000 0.000
0.000 1.870 4.911
0.000 -1.870 4.911
Y Cu Hg
1 2 1
Direct
0.000 0.000 0.000 Y
0.000 0.280 0.280 Cu
0.500 0.411 0.411 Cu
0.500 0.695 0.695 Hg
```

Calculated values
Magnetization, μB per atom: 0.000
ΔH_f (0 K), eV per atom: -0.173
SG: Amm2, No. 38



Record 13
Compound: YCu2Hg
Source: Alexandria via LeMat-Bulk
Functional: PBEsol
Structure: optimized geometry

Cell and atoms, written as POSCAR:
```
YCu2Hg
1.0
0.000 3.292 3.292
3.292 0.000 3.292
3.292 3.292 0.000
Y Cu Hg
1 2 1
Direct
0.000 0.000 0.000 Y
0.500 0.500 0.500 Cu
0.750 0.750 0.750 Cu
0.250 0.250 0.250 Hg
```

Calculated values
Magnetization, μB per atom: 0.000
ΔH_f (0 K), eV per atom: -0.133
SG: F-43m, No. 216



Record 14
Compound: YCu2Hg
Source: Alexandria via LeMat-Bulk
Functional: PBEsol
Structure: optimized geometry

Cell and atoms, written as POSCAR:
```
YCu2Hg
1.0
3.331 0.000 0.000
0.000 4.294 0.000
0.000 0.000 5.397
Y Cu Hg
1 2 1
Direct
0.000 0.000 0.000 Y
0.500 0.500 0.229 Cu
0.500 0.500 0.771 Cu
0.500 0.000 0.500 Hg
```

Calculated values
Magnetization, μB per atom: 0.000
ΔH_f (0 K), eV per atom: -0.095
SG: Pmmm, No. 47



Record 15
Compound: YCuHg
Source: Alexandria via LeMat-Bulk
Functional: PBEsol
Structure: optimized geometry

Cell and atoms, written as POSCAR:
```
YCuHg
1.0
4.538 0.000 0.000
-2.269 3.930 0.000
0.000 0.000 3.407
Y Cu Hg
1 1 1
Direct
0.000 0.000 0.000 Y
0.667 0.333 0.500 Cu
0.333 0.667 0.500 Hg
```

Calculated values
Magnetization, μB per atom: 0.000
ΔH_f (0 K), eV per atom: -0.385
SG: P-6m2, No. 187